<i>
Computed, not measured: Zn2BrCl3 after structural relaxation at the PBE level of DFT.

The space group is Pm (No. 6) and the conventional cell measures 6.445, 3.541 and 6.651 Å, with angles of 90.00, 115.15 and 90.00 degrees. Symmetry generates all atoms from Zn at (0.000, 0.000, 0.000), Zn at (0.497, 0.500, 0.989), Br at (0.771, 0.000, 0.247), Cl at (0.245, 0.000, 0.768), Cl at (0.259, 0.500, 0.219) and Cl at (0.744, 0.500, 0.769).


<ii>
Computed, not measured: Zn2BrCl3 after structural relaxation at the PBE level of DFT.

The space group is Pmm2 (No. 25) and the conventional cell measures 3.738, 3.793 and 11.796 Å, with angles of 90.00, 90.00 and 90.00 degrees. Symmetry generates all atoms from Zn at (0.000, 0.000, 0.000), Zn at (0.500, 0.500, 0.495), Br at (0.000, 0.500, 0.872), Cl at (0.000, 0.500, 0.381), Cl at (0.500, 0.000, 0.115) and Cl at (0.500, 0.000, 0.606).


Stability verdict: <ii>, ahead by 7.9 kJ/mol of atoms


<i>
Computed, not measured: Cs2FeHgBr6 after structural relaxation at the PBE level of DFT.

The space group is Fm-3m (No. 225) and the conventional cell measures 11.079, 11.079 and 11.079 Å, with angles of 90.00, 90.00 and 90.00 degrees. Symmetry generates all atoms from Cs at (0.250, 0.250, 0.250), Fe at (0.000, 0.000, 0.000), Hg at (0.000, 0.000, 0.500) and Br at (0.000, 0.000, 0.234).


<ii>
Computed, not measured: Cs2FeHgBr6 after structural relaxation at the PBE level of DFT.

The space group is I4/mmm (No. 139) and the conventional cell measures 7.992, 7.992 and 11.079 Å, with angles of 90.00, 90.00 and 90.00 degrees. Symmetry generates all atoms from Cs at (0.000, 0.500, 0.250), Fe at (0.000, 0.000, 0.000), Hg at (0.000, 0.000, 0.500), Br at (0.000, 0.000, 0.265) and Br at (0.222, 0.222, 0.000).


Stability verdict: <ii>, ahead by 0.8 kJ/mol of atoms


<i>
Computed, not measured: Cs2HgBr4 after structural relaxation at the PBE level of DFT.

The space group is P2_1/m (No. 11) and the conventional cell measures 8.021, 7.872 and 10.237 Å, with angles of 90.00, 108.85 and 90.00 degrees. Symmetry generates all atoms from Cs at (0.214, 0.250, 0.050), Cs at (0.277, 0.250, 0.572), Hg at (0.220, 0.750, 0.794), Br at (0.008, 0.510, 0.268), Br at (0.390, 0.750, 0.064) and Br at (0.419, 0.750, 0.632).


<ii>
Computed, not measured: Cs2HgBr4 after structural relaxation at the PBE level of DFT.

The space group is Pnma (No. 62) and the conventional cell measures 10.447, 7.963 and 14.178 Å, with angles of 90.00, 90.00 and 90.00 degrees. Symmetry generates all atoms from Cs at (0.018, 0.250, 0.167), Cs at (0.114, 0.750, 0.418), Hg at (0.219, 0.750, 0.077), Br at (0.031, 0.250, 0.903), Br at (0.172, 0.520, 0.653) and Br at (0.180, 0.250, 0.403).


Stability verdict: <i>, ahead by 0.7 kJ/mol of atoms


<i>
Computed, not measured: CsNbBr3 after structural relaxation at the PBE level of DFT.

The space group is R-3c (No. 167, hexagonal axes) and the conventional cell measures 7.8338, 7.8338 and 18.4521 Å, with angles of 90.00, 90.00 and 120.00 degrees. Symmetry generates all atoms from Cs at (0.0000, 0.0000, 0.2500), Nb at (0.0000, 0.0000, 0.0000) and Br at (0.0000, 0.4505, 0.2500).


<ii>
Computed, not measured: CsNbBr3 after structural relaxation at the PBE level of DFT.

The space group is R-3c (No. 167, hexagonal axes) and the conventional cell measures 9.0541, 9.0541 and 18.5198 Å, with angles of 90.00, 90.00 and 120.00 degrees. Symmetry generates all atoms from Cs at (0.0000, 0.0000, 0.0000), Nb at (0.0000, 0.0000, 0.2500) and Br at (0.0000, 0.2797, 0.2500).


<iii>
Computed, not measured: CsNbBr3 after structural relaxation at the PBE level of DFT.

The space group is P4mm (No. 99) and the conventional cell measures 5.438, 5.438 and 5.562 Å, with angles of 90.00, 90.00 and 90.00 degrees. Symmetry generates all atoms from Cs at (0.000, 0.000, 0.000), Nb at (0.500, 0.500, 0.450), Br at (0.000, 0.500, 0.507) and Br at (0.500, 0.500, 0.968).


Stability verdict: <i>, ahead by 1.1 kJ/mol of atoms


<i>
Computed, not measured: CsNbBr3 after structural relaxation at the PBE level of DFT.

The space group is R-3 (No. 148, hexagonal axes) and the conventional cell measures 7.4408, 7.4408 and 23.5489 Å, with angles of 90.00, 90.00 and 120.00 degrees. Symmetry generates all atoms from Cs at (0.0000, 0.0000, 0.1487), Nb at (0.0000, 0.0000, 0.3333) and Br at (0.0003, 0.3820, 0.0644).


<ii>
Computed, not measured: CsNbBr3 after structural relaxation at the PBE level of DFT.

The space group is Pm-3m (No. 221) and the conventional cell measures 5.488, 5.488 and 5.488 Å, with angles of 90.00, 90.00 and 90.00 degrees. Symmetry generates all atoms from Cs at (0.000, 0.000, 0.000), Nb at (0.500, 0.500, 0.500) and Br at (0.000, 0.500, 0.500).


Stability verdict: <i>, ahead by 1.2 kJ/mol of atoms